(1)
# MgIrPt2 PBE optimized geometry
# Formation energy from the elements (eV/f.u.): -1.82
data_MgIrPt2
_symmetry_space_group_name_H-M 'C m m m'
_symmetry_Int_Tables_number 65
_symmetry_space_group_name_Hall '-C 2 2'
_cell_length_a 5.616
_cell_length_b 7.745
_cell_length_c 2.808
_cell_angle_alpha 90.00
_cell_angle_beta 90.00
_cell_angle_gamma 90.00
loop_
_atom_site_label
_atom_site_type_symbol
_atom_site_fract_x
_atom_site_fract_y
_atom_site_fract_z
Mg1 Mg 0.000 0.000 0.000
Ir1 Ir 0.000 0.500 0.000
Pt1 Pt 0.250 0.250 0.500



(2)
# SrSnBi2 PBE optimized geometry
# Formation energy from the elements (eV/f.u.): -0.89
data_SrSnBi2
_symmetry_space_group_name_H-M 'I -4 2 d'
_symmetry_Int_Tables_number 122
_symmetry_space_group_name_Hall 'I -4 2bw'
_cell_length_a 8.399
_cell_length_b 8.399
_cell_length_c 8.910
_cell_angle_alpha 90.00
_cell_angle_beta 90.00
_cell_angle_gamma 90.00
loop_
_atom_site_label
_atom_site_type_symbol
_atom_site_fract_x
_atom_site_fract_y
_atom_site_fract_z
Sr1 Sr 0.000 0.000 0.000
Sn1 Sn 0.000 0.000 0.500
Bi1 Bi 0.199 0.750 0.625



(3)
# ZrScBe2 PBE optimized geometry
# Formation energy from the elements (eV/f.u.): -0.01
# Offset from the most stable computed form (meV per atom): 67
data_ZrScBe2
_symmetry_space_group_name_H-M 'R 3 m'
_symmetry_Int_Tables_number 160
_symmetry_space_group_name_Hall 'R 3 -2"'
_cell_length_a 3.7852
_cell_length_b 3.7852
_cell_length_c 16.0913
_cell_angle_alpha 90.00
_cell_angle_beta 90.00
_cell_angle_gamma 120.00
loop_
_atom_site_label
_atom_site_type_symbol
_atom_site_fract_x
_atom_site_fract_y
_atom_site_fract_z
Zr1 Zr 0.0000 0.0000 0.0000
Sc1 Sc 0.0000 0.0000 0.1927
Be1 Be 0.0000 0.0000 0.4201
Be2 Be 0.0000 0.0000 0.7652



(4)
# Na3In3SiO8 PBE optimized geometry
# Uncorrected formation energy (eV per atom): -1.80
data_Na3In3SiO8
_symmetry_space_group_name_H-M 'R -3 m'
_symmetry_Int_Tables_number 166
_symmetry_space_group_name_Hall '-R 3 2"'
_cell_length_a 6.3260
_cell_length_b 6.3260
_cell_length_c 16.6915
_cell_angle_alpha 90.00
_cell_angle_beta 90.00
_cell_angle_gamma 120.00
loop_
_atom_site_label
_atom_site_type_symbol
_atom_site_fract_x
_atom_site_fract_y
_atom_site_fract_z
Na1 Na 0.0000 0.5000 0.0000
In1 In 0.0000 0.5000 0.5000
Si1 Si 0.0000 0.0000 0.5000
O1 O 0.0000 0.0000 0.2377
O2 O 0.0505 0.5252 0.2294



(5)
# Zn8Co2Ni PBE optimized geometry
# Formation energy from the elements (eV/f.u.): -0.45
data_Zn8Co2Ni
_symmetry_space_group_name_H-M 'I m m m'
_symmetry_Int_Tables_number 71
_symmetry_space_group_name_Hall '-I 2 2'
_cell_length_a 4.010
_cell_length_b 6.413
_cell_length_c 11.467
_cell_angle_alpha 90.00
_cell_angle_beta 90.00
_cell_angle_gamma 90.00
loop_
_atom_site_label
_atom_site_type_symbol
_atom_site_fract_x
_atom_site_fract_y
_atom_site_fract_z
Zn1 Zn 0.000 0.000 0.151
Zn2 Zn 0.000 0.211 0.352
Zn3 Zn 0.000 0.306 0.000
Co1 Co 0.000 0.500 0.202
Ni1 Ni 0.000 0.500 0.500



(6)
# CuAsRuBr2 PBE optimized geometry
# Uncorrected formation energy (eV per atom): 0.60
# Offset from the most stable computed form (meV per atom): 0
data_CuAsRuBr2
_symmetry_space_group_name_H-M 'P 4/m m m'
_symmetry_Int_Tables_number 123
_symmetry_space_group_name_Hall '-P 4 2'
_cell_length_a 5.229
_cell_length_b 5.229
_cell_length_c 4.607
_cell_angle_alpha 90.00
_cell_angle_beta 90.00
_cell_angle_gamma 90.00
loop_
_atom_site_label
_atom_site_type_symbol
_atom_site_fract_x
_atom_site_fract_y
_atom_site_fract_z
Cu1 Cu 0.000 0.000 0.000
As1 As 0.500 0.500 0.000
Ru1 Ru 0.500 0.500 0.500
Br1 Br 0.000 0.500 0.500



(7)
# Zr2BeNi2 PBE optimized geometry
# Formation energy from the elements (eV/f.u.): -1.87
# Offset from the most stable computed form (meV per atom): 0
data_Zr2BeNi2
_symmetry_space_group_name_H-M 'C 1 2/c 1'
_symmetry_Int_Tables_number 15
_cell_length_a 8.776
_cell_length_b 5.294
_cell_length_c 6.725
_cell_angle_alpha 90.00
_cell_angle_beta 105.82
_cell_angle_gamma 90.00
loop_
_symmetry_equiv_pos_as_xyz
'x,y,z'
'-x,-y,-z'
'-x,y,-z+1/2'
'x,-y,z+1/2'
'x+1/2,y+1/2,z'
'-x+1/2,-y+1/2,-z'
'-x+1/2,y+1/2,-z+1/2'
'x+1/2,-y+1/2,z+1/2'
loop_
_atom_site_label
_atom_site_type_symbol
_atom_site_fract_x
_atom_site_fract_y
_atom_site_fract_z
Zr1 Zr 0.155 0.117 0.147
Be1 Be 0.000 0.334 0.750
Ni1 Ni 0.124 0.376 0.495



(8)
# Sc2VHS PBE optimized geometry
# Uncorrected energy (eV per atom): -5.649
data_Sc2VHS
_symmetry_space_group_name_H-M 'P 4/m m m'
_symmetry_Int_Tables_number 123
_symmetry_space_group_name_Hall '-P 4 2'
_cell_length_a 4.881
_cell_length_b 4.881
_cell_length_c 4.223
_cell_angle_alpha 90.00
_cell_angle_beta 90.00
_cell_angle_gamma 90.00
loop_
_atom_site_label
_atom_site_type_symbol
_atom_site_fract_x
_atom_site_fract_y
_atom_site_fract_z
Sc1 Sc 0.000 0.500 0.000
V1 V 0.000 0.000 0.500
H1 H 0.500 0.500 0.500
S1 S 0.000 0.000 0.000



(9)
# RbHfHgN2 PBE optimized geometry
# Uncorrected formation energy (eV per atom): 2.30
data_RbHfHgN2
_symmetry_space_group_name_H-M 'P 4/m m m'
_symmetry_Int_Tables_number 123
_symmetry_space_group_name_Hall '-P 4 2'
_cell_length_a 4.683
_cell_length_b 4.683
_cell_length_c 5.275
_cell_angle_alpha 90.00
_cell_angle_beta 90.00
_cell_angle_gamma 90.00
loop_
_atom_site_label
_atom_site_type_symbol
_atom_site_fract_x
_atom_site_fract_y
_atom_site_fract_z
Rb1 Rb 0.000 0.000 0.000
Hf1 Hf 0.500 0.500 0.000
Hg1 Hg 0.500 0.500 0.500
N1 N 0.000 0.500 0.500



(10)
# TlTeMoI2 PBE optimized geometry
# Uncorrected formation energy (eV per atom): 0.07
# Offset from the most stable computed form (meV per atom): 0
data_TlTeMoI2
_symmetry_space_group_name_H-M 'P 4/m m m'
_symmetry_Int_Tables_number 123
_symmetry_space_group_name_Hall '-P 4 2'
_cell_length_a 5.835
_cell_length_b 5.835
_cell_length_c 5.325
_cell_angle_alpha 90.00
_cell_angle_beta 90.00
_cell_angle_gamma 90.00
loop_
_atom_site_label
_atom_site_type_symbol
_atom_site_fract_x
_atom_site_fract_y
_atom_site_fract_z
Tl1 Tl 0.000 0.000 0.000
Te1 Te 0.500 0.500 0.000
Mo1 Mo 0.500 0.500 0.500
I1 I 0.000 0.500 0.500



(11)
# TbTm2Mn PBE optimized geometry
# Formation energy from the elements (eV/f.u.): 0.42
# Offset from the most stable computed form (meV per atom): 0
data_TbTm2Mn
_symmetry_space_group_name_H-M 'P 4/m m m'
_symmetry_Int_Tables_number 123
_symmetry_space_group_name_Hall '-P 4 2'
_cell_length_a 3.494
_cell_length_b 3.494
_cell_length_c 8.551
_cell_angle_alpha 90.00
_cell_angle_beta 90.00
_cell_angle_gamma 90.00
loop_
_atom_site_label
_atom_site_type_symbol
_atom_site_fract_x
_atom_site_fract_y
_atom_site_fract_z
Tb1 Tb 0.000 0.000 0.000
Tm1 Tm 0.500 0.500 0.302
Mn1 Mn 0.000 0.000 0.500



(12)
# TaMnTl PBE optimized geometry
# Formation energy from the elements (eV/f.u.): 1.26
# Offset from the most stable computed form (meV per atom): 0
data_TaMnTl
_symmetry_space_group_name_H-M 'I 4 m m'
_symmetry_Int_Tables_number 107
_symmetry_space_group_name_Hall 'I 4 -2'
_cell_length_a 3.219
_cell_length_b 3.219
_cell_length_c 10.478
_cell_angle_alpha 90.00
_cell_angle_beta 90.00
_cell_angle_gamma 90.00
loop_
_atom_site_label
_atom_site_type_symbol
_atom_site_fract_x
_atom_site_fract_y
_atom_site_fract_z
Ta1 Ta 0.000 0.000 0.000
Mn1 Mn 0.000 0.000 0.384
Tl1 Tl 0.000 0.000 0.703



(13)
# Ta6Mo PBE optimized geometry
# Formation energy from the elements (eV/f.u.): -0.23
# Offset from the most stable computed form (meV per atom): 37
data_Ta6Mo
_symmetry_space_group_name_H-M 'F m m m'
_symmetry_Int_Tables_number 69
_symmetry_space_group_name_Hall '-F 2 2'
_cell_length_a 3.290
_cell_length_b 4.717
_cell_length_c 32.304
_cell_angle_alpha 90.00
_cell_angle_beta 90.00
_cell_angle_gamma 90.00
loop_
_atom_site_label
_atom_site_type_symbol
_atom_site_fract_x
_atom_site_fract_y
_atom_site_fract_z
Ta1 Ta 0.000 0.000 0.068
Ta2 Ta 0.000 0.000 0.213
Ta3 Ta 0.000 0.000 0.359
Mo1 Mo 0.000 0.000 0.500



(14)
# CaMnCo PBE optimized geometry
# Formation energy from the elements (eV/f.u.): 0.70
# Offset from the most stable computed form (meV per atom): 40
data_CaMnCo
_symmetry_space_group_name_H-M 'P 1'
_symmetry_Int_Tables_number 1
_cell_length_a 3.770
_cell_length_b 5.836
_cell_length_c 5.865
_cell_angle_alpha 92.31
_cell_angle_beta 108.72
_cell_angle_gamma 108.74
loop_
_symmetry_equiv_pos_as_xyz
'x,y,z'
loop_
_atom_site_label
_atom_site_type_symbol
_atom_site_fract_x
_atom_site_fract_y
_atom_site_fract_z
Ca1 Ca 0.000 0.000 0.000
Ca2 Ca 0.439 0.294 0.581
Mn1 Mn 0.280 0.568 0.991
Mn2 Mn 0.597 0.785 0.408
Co1 Co 0.175 0.712 0.637
Co2 Co 0.866 0.521 0.209



(15)
# CeCuSn PBE optimized geometry
# Formation energy from the elements (eV/f.u.): -0.59
data_CeCuSn
_symmetry_space_group_name_H-M 'F m m m'
_symmetry_Int_Tables_number 69
_symmetry_space_group_name_Hall '-F 2 2'
_cell_length_a 5.447
_cell_length_b 8.633
_cell_length_c 10.961
_cell_angle_alpha 90.00
_cell_angle_beta 90.00
_cell_angle_gamma 90.00
loop_
_atom_site_label
_atom_site_type_symbol
_atom_site_fract_x
_atom_site_fract_y
_atom_site_fract_z
Ce1 Ce 0.000 0.161 0.000
Cu1 Cu 0.250 0.250 0.250
Sn1 Sn 0.000 0.000 0.349



(16)
# La2PmNdHo5 PBE optimized geometry
# Formation energy from the elements (eV/f.u.): 2.19
data_La2PmNdHo5
_symmetry_space_group_name_H-M 'I 4/m c m'
_symmetry_Int_Tables_number 140
_symmetry_space_group_name_Hall '-I 4 2c'
_cell_length_a 8.690
_cell_length_b 8.690
_cell_length_c 15.833
_cell_angle_alpha 90.00
_cell_angle_beta 90.00
_cell_angle_gamma 90.00
loop_
_atom_site_label
_atom_site_type_symbol
_atom_site_fract_x
_atom_site_fract_y
_atom_site_fract_z
La1 La 0.118 0.382 0.000
Pm1 Pm 0.000 0.000 0.250
Nd1 Nd 0.000 0.500 0.250
Ho1 Ho 0.000 0.000 0.000
Ho2 Ho 0.213 0.287 0.360



(17)
# CsPuSnO6 PBE optimized geometry
# Uncorrected formation energy (eV per atom): -2.02
data_CsPuSnO6
_symmetry_space_group_name_H-M 'I m m a'
_symmetry_Int_Tables_number 74
_symmetry_space_group_name_Hall '-I 2b 2'
_cell_length_a 7.377
_cell_length_b 7.970
_cell_length_c 10.942
_cell_angle_alpha 90.00
_cell_angle_beta 90.00
_cell_angle_gamma 90.00
loop_
_atom_site_label
_atom_site_type_symbol
_atom_site_fract_x
_atom_site_fract_y
_atom_site_fract_z
Cs1 Cs 0.000 0.250 0.112
Pu1 Pu 0.000 0.000 0.500
Sn1 Sn 0.250 0.250 0.750
O1 O 0.000 0.250 0.437
O2 O 0.000 0.250 0.823
O3 O 0.188 0.059 0.620



(18)
# LaErPb PBE optimized geometry
# Formation energy from the elements (eV/f.u.): -0.84
# Offset from the most stable computed form (meV per atom): 206
data_LaErPb
_symmetry_space_group_name_H-M 'P 3 m 1'
_symmetry_Int_Tables_number 156
_cell_length_a 5.1918
_cell_length_b 5.1918
_cell_length_c 4.2558
_cell_angle_alpha 90.00
_cell_angle_beta 90.00
_cell_angle_gamma 120.00
loop_
_symmetry_equiv_pos_as_xyz
'x,y,z'
'-y,x-y,z'
'-x+y,-x,z'
'-y,-x,z'
'-x+y,y,z'
'x,x-y,z'
loop_
_atom_site_label
_atom_site_type_symbol
_atom_site_fract_x
_atom_site_fract_y
_atom_site_fract_z
La1 La 0.0000 0.0000 0.0000
Er1 Er 0.6667 0.3333 0.4988
Pb1 Pb 0.3333 0.6667 0.5031



(19)
# ZnAu4 PBE optimized geometry
# Formation energy from the elements (eV/f.u.): 0.58
data_ZnAu4
_symmetry_space_group_name_H-M 'I m -3 m'
_symmetry_Int_Tables_number 229
_symmetry_space_group_name_Hall '-I 4 2 3'
_cell_length_a 5.889
_cell_length_b 5.889
_cell_length_c 5.889
_cell_angle_alpha 90.00
_cell_angle_beta 90.00
_cell_angle_gamma 90.00
loop_
_atom_site_label
_atom_site_type_symbol
_atom_site_fract_x
_atom_site_fract_y
_atom_site_fract_z
Zn1 Zn 0.000 0.000 0.000
Au1 Au 0.250 0.250 0.250



(20)
# Y3Tm12Th PBE optimized geometry
# Formation energy from the elements (eV/f.u.): 0.49
data_Y3Tm12Th
_symmetry_space_group_name_H-M 'P 4/m m m'
_symmetry_Int_Tables_number 123
_symmetry_space_group_name_Hall '-P 4 2'
_cell_length_a 4.970
_cell_length_b 4.970
_cell_length_c 19.844
_cell_angle_alpha 90.00
_cell_angle_beta 90.00
_cell_angle_gamma 90.00
loop_
_atom_site_label
_atom_site_type_symbol
_atom_site_fract_x
_atom_site_fract_y
_atom_site_fract_z
Y1 Y 0.000 0.000 0.000
Y2 Y 0.000 0.000 0.251
Tm1 Tm 0.000 0.500 0.125
Tm2 Tm 0.000 0.500 0.376
Tm3 Tm 0.500 0.500 0.000
Tm4 Tm 0.500 0.500 0.249
Tm5 Tm 0.500 0.500 0.500
Th1 Th 0.000 0.000 0.500



(21)
# HfVC2 PBE optimized geometry
# Formation energy from the elements (eV/f.u.): 1.79
data_HfVC2
_symmetry_space_group_name_H-M 'F m -3 m'
_symmetry_Int_Tables_number 225
_symmetry_space_group_name_Hall '-F 4 2 3'
_cell_length_a 5.519
_cell_length_b 5.519
_cell_length_c 5.519
_cell_angle_alpha 90.00
_cell_angle_beta 90.00
_cell_angle_gamma 90.00
loop_
_atom_site_label
_atom_site_type_symbol
_atom_site_fract_x
_atom_site_fract_y
_atom_site_fract_z
Hf1 Hf 0.000 0.000 0.000
V1 V 0.000 0.000 0.500
C1 C 0.250 0.250 0.250



(22)
# MgBeSi PBE optimized geometry
# Uncorrected formation energy (eV per atom): 0.29
data_MgBeSi
_symmetry_space_group_name_H-M 'I m m 2'
_symmetry_Int_Tables_number 44
_cell_length_a 2.779
_cell_length_b 3.496
_cell_length_c 9.213
_cell_angle_alpha 90.00
_cell_angle_beta 90.00
_cell_angle_gamma 90.00
loop_
_symmetry_equiv_pos_as_xyz
'x,y,z'
'-x,-y,z'
'-x,y,z'
'x,-y,z'
'x+1/2,y+1/2,z+1/2'
'-x+1/2,-y+1/2,z+1/2'
'-x+1/2,y+1/2,z+1/2'
'x+1/2,-y+1/2,z+1/2'
loop_
_atom_site_label
_atom_site_type_symbol
_atom_site_fract_x
_atom_site_fract_y
_atom_site_fract_z
Mg1 Mg 0.000 0.000 0.000
Be1 Be 0.000 0.000 0.700
Si1 Si 0.000 0.000 0.298



(23)
# TaGa3Br PBE optimized geometry
# Uncorrected formation energy (eV per atom): 1.32
# Offset from the most stable computed form (meV per atom): 759
data_TaGa3Br
_symmetry_space_group_name_H-M 'P m -3 m'
_symmetry_Int_Tables_number 221
_symmetry_space_group_name_Hall '-P 4 2 3'
_cell_length_a 5.029
_cell_length_b 5.029
_cell_length_c 5.029
_cell_angle_alpha 90.00
_cell_angle_beta 90.00
_cell_angle_gamma 90.00
loop_
_atom_site_label
_atom_site_type_symbol
_atom_site_fract_x
_atom_site_fract_y
_atom_site_fract_z
Ta1 Ta 0.000 0.000 0.000
Ga1 Ga 0.000 0.500 0.500
Br1 Br 0.500 0.500 0.500



(24)
# Pm2HoAl PBE optimized geometry
# Formation energy from the elements (eV/f.u.): -0.69
# Offset from the most stable computed form (meV per atom): 12
data_Pm2HoAl
_symmetry_space_group_name_H-M 'P 4/m m m'
_symmetry_Int_Tables_number 123
_symmetry_space_group_name_Hall '-P 4 2'
_cell_length_a 4.824
_cell_length_b 4.824
_cell_length_c 4.843
_cell_angle_alpha 90.00
_cell_angle_beta 90.00
_cell_angle_gamma 90.00
loop_
_atom_site_label
_atom_site_type_symbol
_atom_site_fract_x
_atom_site_fract_y
_atom_site_fract_z
Pm1 Pm 0.000 0.500 0.000
Ho1 Ho 0.000 0.000 0.500
Al1 Al 0.500 0.500 0.500



(25)
# OsI2OF PBE optimized geometry
# Uncorrected formation energy (eV per atom): 1.38
# Offset from the most stable computed form (meV per atom): 1524
data_OsI2OF
_symmetry_space_group_name_H-M 'P 4/m m m'
_symmetry_Int_Tables_number 123
_symmetry_space_group_name_Hall '-P 4 2'
_cell_length_a 5.102
_cell_length_b 5.102
_cell_length_c 3.468
_cell_angle_alpha 90.00
_cell_angle_beta 90.00
_cell_angle_gamma 90.00
loop_
_atom_site_label
_atom_site_type_symbol
_atom_site_fract_x
_atom_site_fract_y
_atom_site_fract_z
Os1 Os 0.000 0.000 0.000
I1 I 0.000 0.500 0.500
O1 O 0.500 0.500 0.000
F1 F 0.500 0.500 0.500



Mass density (Mg/m³)
16.499; 6.597; 3.847; 4.904; 7.882; 5.265; 6.825; 2.871; 7.069; 6.244; 8.777; 13.468; 15.656; 4.475; 8.309; 7.731; 6.108; 8.581; 13.879; 8.558; 10.015; 2.278; 6.136; 7.101; 8.810